AgPdCl3: relaxed, GGA-PBE.

Cell: 5.0925 5.0925 4.9925 Å, 90.00 90.00 90.00°
Atoms (fractional coordinates):
Ag1 0.0000 0.0000 0.0000
Pd1 0.5000 0.5000 0.0742
Cl1 0.0000 0.0000 0.5038
Cl2 0.0000 0.5000 0.0257
Cl3 0.5000 0.0000 0.0257

Values from the calculation:
* total energy: -2.85 eV/atom
* ρ: 4.11 g/cm³



AgTeO3: relaxed, GGA-PBE.

Cell: 5.6625 5.6625 5.6625 Å, 59.81 59.81 59.81°
Atoms (fractional coordinates):
Ag1 0.2500 0.2500 0.2500
Ag2 0.7500 0.7500 0.7500
Te1 0.0000 0.0000 0.0000
Te2 0.5000 0.5000 0.5000
O1 0.1625 0.7500 0.3375
O2 0.2500 0.6625 0.8375
O3 0.3375 0.1625 0.7500
O4 0.6625 0.8375 0.2500
O5 0.7500 0.3375 0.1625
O6 0.8375 0.2500 0.6625

Values from the calculation:
* total energy: -4.74 eV/atom
* ρ: 7.36 g/cm³



AcCuSi: relaxed, GGA-PBE.

Cell: 4.2567 4.2567 4.4220 Å, 90.00 90.00 120.00°
Atoms (fractional coordinates):
Ac1 0.0000 0.0000 0.0000
Cu1 0.6667 0.3333 0.5000
Si1 0.3333 0.6667 0.5000

Values from the calculation:
* total energy: -4.94 eV/atom
* ρ: 7.63 g/cm³



Y5Tc2O12: relaxed, GGA-PBE.

Cell: 6.8022 6.8022 7.4927 Å, 106.26 106.26 48.89°
Atoms (fractional coordinates):
Y1 0.0000 0.0000 0.0000
Y2 0.3047 0.3047 0.1424
Y3 0.3159 0.3159 0.6752
Y4 0.6841 0.6841 0.3248
Y5 0.6953 0.6953 0.8576
Tc1 0.2142 0.7858 0.5000
Tc2 0.7858 0.2142 0.5000
O1 0.0005 0.0005 0.2948
O2 0.9995 0.9995 0.7052
O3 0.0858 0.5848 0.4168
O4 0.0981 0.5943 0.9260
O5 0.4057 0.9019 0.0740
O6 0.4152 0.9142 0.5832
O7 0.4984 0.4984 0.3213
O8 0.5016 0.5016 0.6787
O9 0.5848 0.0858 0.4168
O10 0.5943 0.0981 0.9260
O11 0.9019 0.4057 0.0740
O12 0.9142 0.4152 0.5832

Values from the calculation:
* total energy: -8.79 eV/atom
* ρ: 5.56 g/cm³



DyZnGa2Ir4: relaxed, GGA-PBE.

Cell: 4.4010 4.4010 6.3935 Å, 90.00 90.00 90.00°
Atoms (fractional coordinates):
Dy1 0.0000 0.0000 0.0000
Zn1 0.5000 0.5000 0.5000
Ga1 0.0000 0.0000 0.5000
Ga2 0.5000 0.5000 0.0000
Ir1 0.0000 0.5000 0.2719
Ir2 0.0000 0.5000 0.7281
Ir3 0.5000 0.0000 0.2719
Ir4 0.5000 0.0000 0.7281

Values from the calculation:
* total energy: -6.38 eV/atom
* ρ: 15.24 g/cm³



Ho2Ge2O5: relaxed, GGA-PBE.

Cell: 4.0568 4.0568 6.5602 Å, 90.00 90.00 90.00°
Atoms (fractional coordinates):
Ho1 0.0000 0.0000 0.0000
Ho2 0.0000 0.0000 0.5000
Ge1 0.5000 0.5000 0.2125
Ge2 0.5000 0.5000 0.7875
O1 0.0000 0.5000 0.2318
O2 0.0000 0.5000 0.7682
O3 0.5000 0.0000 0.2318
O4 0.5000 0.0000 0.7682
O5 0.5000 0.5000 0.5000

Values from the calculation:
* total energy: -6.69 eV/atom
* ρ: 8.54 g/cm³



GdCl2: relaxed, GGA-PBE.

Cell: 5.8892 5.8892 5.8892 Å, 60.00 60.00 60.00°
Atoms (fractional coordinates):
Gd1 0.1250 0.1250 0.1250
Gd2 0.8750 0.8750 0.8750
Cl1 0.0000 0.5000 0.5000
Cl2 0.5000 0.0000 0.5000
Cl3 0.5000 0.5000 0.0000
Cl4 0.5000 0.5000 0.5000

Values from the calculation:
* total energy: -3.23 eV/atom
* ρ: 5.25 g/cm³



ScReNiGe: relaxed, GGA-PBE.

Cell: 4.4436 4.4436 4.4436 Å, 60.00 60.00 60.00°
Atoms (fractional coordinates):
Sc1 0.0000 0.0000 0.0000
Re1 0.7500 0.7500 0.7500
Ni1 0.5000 0.5000 0.5000
Ge1 0.2500 0.2500 0.2500

Values from the calculation:
* total energy: -6.95 eV/atom
* ρ: 9.70 g/cm³



Ni15Te: relaxed, GGA-PBE.

Cell: 6.7464 2.6177 33.2790 Å, 90.00 90.00 90.00°
Atoms (fractional coordinates):
Ni1 0.0000 0.0000 0.0000
Ni2 0.9999 0.0000 0.0734
Ni3 0.0000 0.0000 0.1471
Ni4 0.0000 0.0000 0.2208
Ni5 0.0000 0.0000 0.2941
Ni6 0.0001 0.0000 0.3678
Ni7 0.0003 0.0000 0.9258
Ni8 0.2469 0.5000 0.3333
Ni9 0.2500 0.5000 0.0366
Ni10 0.2498 0.5000 0.1103
Ni11 0.2500 0.5000 0.1838
Ni12 0.2500 0.5000 0.8893
Ni13 0.2501 0.5000 0.9630
Ni14 0.2506 0.5000 0.2575
Ni15 0.5001 0.0000 0.0000
Ni16 0.5002 0.0000 0.0734
Ni17 0.5000 0.0000 0.1470
Ni18 0.5000 0.0000 0.2208
Ni19 0.5001 0.0000 0.2941
Ni20 0.4998 0.0000 0.9258
Ni21 0.5033 0.0000 0.8504
Ni22 0.7494 0.5000 0.2575
Ni23 0.7500 0.5000 0.0366
Ni24 0.7502 0.5000 0.1103
Ni25 0.7500 0.5000 0.1838
Ni26 0.7500 0.5000 0.8160
Ni27 0.7500 0.5000 0.8891
Ni28 0.7499 0.5000 0.9630
Ni29 0.7531 0.5000 0.3333
Ni30 0.9967 0.0000 0.8504
Te1 0.2501 0.5000 0.8068
Te2 0.5000 0.0000 0.3766

Values from the calculation:
* total energy: -5.26 eV/atom
* ρ: 5.70 g/cm³



SrNbCuNi: relaxed, GGA-PBE.

Cell: 4.6161 4.6161 4.6161 Å, 60.00 60.00 60.00°
Atoms (fractional coordinates):
Sr1 0.0000 0.0000 0.0000
Nb1 0.7500 0.7500 0.7500
Cu1 0.2500 0.2500 0.2500
Ni1 0.5000 0.5000 0.5000

Values from the calculation:
* total energy: -4.59 eV/atom
* ρ: 7.23 g/cm³



LiSmFe: relaxed, GGA-PBE.

Cell: 4.5070 4.5070 4.5070 Å, 60.00 60.00 60.00°
Atoms (fractional coordinates):
Li1 0.0000 0.0000 0.0000
Sm1 0.5000 0.5000 0.5000
Fe1 0.2500 0.2500 0.2500

Values from the calculation:
* total energy: -4.36 eV/atom
* ρ: 5.47 g/cm³



PuNi: relaxed, GGA-PBE.

Cell: 2.5885 2.5885 5.0217 Å, 90.00 90.00 120.00°
Atoms (fractional coordinates):
Pu1 0.0000 0.0000 0.0000
Ni1 0.3333 0.6667 0.5000

Values from the calculation:
* calculated formation energy: 263 meV per atom
* total energy: -9.58 eV/atom
* ρ: 17.24 g/cm³